## TmTc2C2 (PBE)

Data for a relaxed TmTc2C2 crystal.

Cell and atoms, written as POSCAR:
```
TmTc2C2
1.0
3.445 -4.299 0.000
3.445 4.299 0.000
-2.978 0.000 4.579
Tm Tc C
2 4 4
direct
0.127 0.873 0.750
0.873 0.127 0.250
0.229 0.460 0.966
0.460 0.229 0.466
0.540 0.771 0.534
0.771 0.540 0.034
0.184 0.816 0.250
0.421 0.579 0.750
0.579 0.421 0.250
0.816 0.184 0.750
```

## Properties
Raw total energy = -8.8943 eV per atom
Formation enthalpy at 0 K = -0.16 eV per atom
Magnetization = 0.00 μB per formula unit
Density of states at the Fermi level = 3.475 states/eV per cell
ρ = 9.523 g/cm3
Symmetry = C2/c